A plane-wave DFT calculation with PBE-GGA was carried out for a relaxed structure of TbScSn.

## Properties
**Energy of formation from the pure elements**: -405 meV per atom
**Total magnetic moment**: 2.96 Bohr magnetons per cell

POSCAR file:
```
TbScSn
1.0
3.809 0.000 0.000
0.000 3.809 0.000
0.000 0.000 10.748
Tb Sc Sn
2 2 2
Direct
0.000 0.000 0.000
0.500 0.500 0.500
0.000 0.000 0.687
0.500 0.500 0.187
0.000 0.000 0.326
0.500 0.500 0.826
```